Density functional theory data (GGA-PBE) for a geometry-optimized TmHgB4 structure.

a b c (Å): 3.211 3.211 7.838
angles (deg): 90.00 90.00 120.00
Fractional positions:
Tm: 0.000 0.000 0.000
Hg: 0.000 0.000 0.500
B: 0.333 0.667 0.234
B: 0.333 0.667 0.766
B: 0.667 0.333 0.234
B: 0.667 0.333 0.766

Polymorph energy (0 for the lowest one) ... 0.192 eV/atom

Density functional theory data (GGA-PBE) for a geometry-optimized LaGaAg structure.

a b c (Å): 4.867 4.867 4.867
angles (deg): 60.00 60.00 60.00
Fractional positions:
La: 0.000 0.000 0.000
Ga: 0.500 0.500 0.500
Ag: 0.750 0.750 0.750

Density functional theory data (GGA-PBE) for a geometry-optimized DyYGa2Br2 structure.

a b c (Å): 4.127 4.127 11.268
angles (deg): 90.00 90.00 120.00
Fractional positions:
Dy: 0.000 0.000 0.000
Y: 0.000 0.000 0.636
Ga: 0.333 0.667 0.850
Ga: 0.667 0.333 0.788
Br: 0.333 0.667 0.480
Br: 0.667 0.333 0.156

Density functional theory data (GGA-PBE) for a geometry-optimized DySi3Pd4 structure.

a b c (Å): 5.812 3.774 6.091
angles (deg): 90.00 94.37 90.00
Fractional positions:
Dy: 0.000 0.000 0.000
Si: 0.270 0.500 0.702
Si: 0.519 0.000 0.193
Si: 0.798 0.500 0.377
Pd: 0.050 0.000 0.527
Pd: 0.281 0.500 0.297
Pd: 0.574 0.000 0.596
Pd: 0.594 0.500 0.965

Density functional theory data (GGA-PBE) for a geometry-optimized Gd2ErTmAl2 structure.

a b c (Å): 5.240 5.240 6.642
angles (deg): 90.00 90.00 120.00
Fractional positions:
Gd: 0.000 0.000 0.249
Gd: 0.000 0.000 0.751
Er: 0.333 0.667 0.500
Tm: 0.667 0.333 0.000
Al: 0.333 0.667 0.000
Al: 0.667 0.333 0.500

Density functional theory data (GGA-PBE) for a geometry-optimized Hf2ZrNi3As4Pd structure.

a b c (Å): 6.478 3.840 7.390
angles (deg): 90.00 90.57 90.00
Fractional positions:
Hf: 0.000 0.000 0.000
Hf: 0.059 0.500 0.372
Zr: 0.509 0.000 0.862
Ni: 0.394 0.000 0.236
Ni: 0.691 0.500 0.122
Ni: 0.910 0.000 0.618
As: 0.303 0.500 0.071
As: 0.313 0.000 0.543
As: 0.764 0.000 0.312
As: 0.783 0.500 0.786
Pd: 0.174 0.500 0.743

Polymorph energy (0 for the lowest one) ... 0.010 eV/atom

Density functional theory data (GGA-PBE) for a geometry-optimized PtF4 structure.

a b c (Å): 4.633 4.633 4.633
angles (deg): 128.88 128.88 75.20
Fractional positions:
Pt: 0.000 0.000 0.000
F: 0.000 0.500 0.500
F: 0.260 0.260 0.000
F: 0.500 0.000 0.500
F: 0.740 0.740 0.000

Polymorph energy (0 for the lowest one) ... 0.074 eV/atom

Density functional theory data (GGA-PBE) for a geometry-optimized FeSiOsW structure.

a b c (Å): 4.244 4.244 4.244
angles (deg): 60.00 60.00 60.00
Fractional positions:
Fe: 0.000 0.000 0.000
Si: 0.750 0.750 0.750
Os: 0.500 0.500 0.500
W: 0.250 0.250 0.250

Polymorph energy (0 for the lowest one) ... 0.000 eV/atom

Number 1: E -30.46 eV for the cell shown, theoretical density 9.79 g/cm3, size of the total moment 0.02 Bohr magnetons per cell. Number 2: E -11.61 eV for the cell shown, theoretical density 6.45 g/cm3, size of the total moment 0.05 Bohr magnetons per cell. Number 3: E -27.81 eV for the cell shown, theoretical density 5.50 g/cm3, size of the total moment 0.01 Bohr magnetons per cell. Number 4: E -46.28 eV for the cell shown, theoretical density 8.38 g/cm3, size of the total moment 0.00 Bohr magnetons per cell. Number 5: E -27.39 eV for the cell shown, theoretical density 7.41 g/cm3, size of the total moment 0.11 Bohr magnetons per cell. Number 6: E -77.37 eV for the cell shown, theoretical density 9.31 g/cm3, size of the total moment 0.00 Bohr magnetons per cell. Number 7: E -18.63 eV for the cell shown, theoretical density 7.68 g/cm3, size of the total moment 0.52 Bohr magnetons per cell. Number 8: E -37.94 eV for the cell shown, theoretical density 14.07 g/cm3, size of the total moment 1.79 Bohr magnetons per cell.